VASP calculation (PBE) on a relaxed structure of Y2AgHPb.

## Properties
- polymorph energy (0 for the lowest one) (meV per atom) = 0.0
- SG = P4/mmm (123)
- E_tot (eV/atom) = -4.95

a = 4.8622 Å, b = 4.8622 Å, c = 4.3870 Å
α = 90.00°, β = 90.00°, γ = 90.00°
Atoms (fractional coordinates):
Y 0.0000 0.5000 0.0000
Y 0.5000 0.0000 0.0000
Ag 0.0000 0.0000 0.5000
H 0.0000 0.0000 0.0000
Pb 0.5000 0.5000 0.5000